Record 1
Entry from Alexandria: crystalline Be2AgP at its relaxed geometry (PBE).

Summary:
Symmetry = P2/m, No. 10
Density of states at the Fermi level = 0.71 states/eV/f.u.
M_tot = 0.0 μB per formula unit
Calculated volume = 57 Å³/cell
Formation enthalpy at 0 K = 0.201 eV per atom

Cell: 3.4128 3.6190 4.5827 Å, 89.92 90.00 90.00°
Fractional positions:
1 P 0.5000 0.2500 0.2500
2 Ag 0.5000 0.7500 0.7500
3 Be 0.0000 0.2500 0.9892
4 Be 0.0000 0.2500 0.5108

***

Record 2
Entry from Alexandria: crystalline K2SrO at its relaxed geometry (PBE).

Summary:
E_form (uncorrected) = -0.4272 eV/atom
Symmetry = I-42d, No. 122
Density of states at the Fermi level = 1.23 states/eV/f.u.
M_tot = 0.0 μB per formula unit
Calculated volume = 382 Å³/cell

Cell: 8.1763 8.1763 8.1273 Å, 59.80 59.80 90.00°
Fractional positions:
1 Sr 0.0000 0.0000 0.0000
2 Sr 0.7500 0.2500 0.5000
3 K 0.4042 0.1250 0.2500
4 K 0.3458 0.6250 0.2500
5 K 0.3750 0.5958 0.7500
6 K 0.8750 0.6542 0.7500
7 O 0.5000 0.5000 0.0000
8 O 0.2500 0.7500 0.5000

***

Record 3
Entry from Alexandria: crystalline Ga2SnGe at its relaxed geometry (PBE).

Summary:
Symmetry = R-3m, No. 166
Density of states at the Fermi level = 2.30 states/eV/f.u.
M_tot = 0.0 μB per formula unit
Calculated volume = 102 Å³/cell
Formation enthalpy at 0 K = 0.201 eV per atom

Cell: 3.7888 3.7888 8.4740 Å, 77.08 77.08 60.00°
Fractional positions:
1 Ge 0.5000 0.5000 0.5000
2 Sn 0.0000 0.0000 0.0000
3 Ga 0.1115 0.1115 0.6656
4 Ga 0.8885 0.8885 0.3344

***

Record 4
Entry from Alexandria: crystalline Nd3Y7Er2 at its relaxed geometry (PBE).

Summary:
Symmetry = P2/m, No. 10
Density of states at the Fermi level = 20.01 states/eV/f.u.
Excess energy over the best structure of this formula in the dataset = 1.73 eV per formula unit
M_tot = 1.1 μB per formula unit
Calculated volume = 421 Å³/cell
Formation enthalpy at 0 K = 0.230 eV per atom

Cell: 3.6402 5.6211 20.6730 Å, 90.00 95.05 90.00°
Each line ends with the local moment (μB).
Fractional positions:
1 Nd 0.5000 0.5000 0.0000  0.01
2 Nd 0.8306 0.0000 0.6621  0.02
3 Nd 0.1694 0.0000 0.3379  0.02
4 Y 0.2848 0.5000 0.5699  0.23
5 Y 0.7152 0.5000 0.4301  0.23
6 Y 0.4139 0.0000 0.8282  0.01
7 Y 0.0000 0.0000 0.0000  0.00
8 Y 0.5861 0.0000 0.1718  0.01
9 Y 0.0678 0.5000 0.1350  0.00
10 Y 0.9322 0.5000 0.8650  0.00
11 Er 0.3627 0.5000 0.7265  0.02
12 Er 0.6373 0.5000 0.2735  0.02

***

Record 5
Entry from Alexandria: crystalline Sc2PS at its relaxed geometry (PBE).

Summary:
E_form (uncorrected) = -1.6536 eV/atom
Symmetry = R3m, No. 160
Density of states at the Fermi level = 2.78 states/eV/f.u.
Excess energy over the best structure of this formula in the dataset = 0.35 eV per formula unit
M_tot = 0.0 μB per formula unit
Calculated volume = 75 Å³/cell

Cell: 3.6672 3.6672 6.7465 Å, 74.23 74.23 60.00°
Fractional positions:
1 Sc 0.0774 0.0774 0.7677
2 Sc 0.2559 0.2559 0.2322
3 P 0.6683 0.6683 0.9951
4 S 0.4983 0.4983 0.5050

***

Record 6
Entry from Alexandria: crystalline CeMgInGe at its relaxed geometry (PBE).

Summary:
Symmetry = Pmmm, No. 47
Density of states at the Fermi level = 5.44 states/eV/f.u.
Excess energy over the best structure of this formula in the dataset = 0.00 eV per formula unit
M_tot = 0.7 μB per formula unit
Calculated volume = 94 Å³/cell
Formation enthalpy at 0 K = -0.413 eV per atom

Cell: 4.3362 4.4421 4.8722 Å, 90.00 90.00 90.00°
Each line ends with the local moment (μB).
Fractional positions:
1 Ce 0.0000 0.5000 0.5000  0.57
2 Mg 0.0000 0.0000 0.0000  0.01
3 In 0.5000 0.5000 0.0000  0.02
4 Ge 0.5000 0.0000 0.5000  0.00

***

What is the formula in the sixth record?
CeMgInGe

***

Copy entry 3 word for word.
Entry from Alexandria: crystalline Ga2SnGe at its relaxed geometry (PBE).

Summary:
Symmetry = R-3m, No. 166
Density of states at the Fermi level = 2.30 states/eV/f.u.
M_tot = 0.0 μB per formula unit
Calculated volume = 102 Å³/cell
Formation enthalpy at 0 K = 0.201 eV per atom

Cell: 3.7888 3.7888 8.4740 Å, 77.08 77.08 60.00°
Fractional positions:
1 Ge 0.5000 0.5000 0.5000
2 Sn 0.0000 0.0000 0.0000
3 Ga 0.1115 0.1115 0.6656
4 Ga 0.8885 0.8885 0.3344

***

Look up the M_tot of the fifth one.
0.0 μB per formula unit

***

Among the records above, which one has the lowest density of states at the Fermi level?
Be2AgP